Record 1
The following is a DFT calculation (PBE) of a relaxed Be2ZnAsI crystal.

a b c (Å): 4.455 5.277 4.455
angles (deg): 90.00 90.00 90.00
Fractional coordinates of all 5 atoms:
1 Be 0.000 0.000 0.500
2 Be 0.500 0.000 0.000
3 As 0.000 0.000 0.000
4 Zn 0.000 0.500 0.000
5 I 0.500 0.500 0.500

* space-group type: P4/mmm (123)
* ΔE_f (raw): 0.535 eV per atom
* DOS(E_F): 0.53 states/eV/atom
* V: 20.95 Å³/atom

Record 2
The following is a DFT calculation (PBE) of a relaxed NaHW2 crystal.

a b c (Å): 4.285 4.285 4.285
angles (deg): 60.00 60.00 60.00
Fractional coordinates of all 4 atoms:
1 Na 0.500 0.500 0.500
2 W 0.750 0.750 0.750
3 W 0.250 0.250 0.250
4 H 0.000 0.000 0.000

* space-group type: Fm-3m (225)
* DOS(E_F): 0.94 states/eV/atom
* energy above the most stable polymorph in this dataset: 4.63 eV/f.u.
* V: 13.91 Å³/atom

Record 3
The following is a DFT calculation (PBE) of a relaxed Dy2Zn9Ni3 crystal.

a b c (Å): 7.506 7.506 10.119
angles (deg): 89.84 110.83 121.63
Fractional coordinates of all 28 atoms:
1 Ni 0.810 0.635 0.997
2 Ni 0.861 0.186 0.497
3 Ni 0.500 0.000 0.000
4 Ni 0.190 0.365 0.003
5 Ni 0.139 0.814 0.503
6 Ni 0.500 0.500 0.500
7 Zn 0.130 0.135 0.434
8 Zn 0.545 0.345 0.082
9 Zn 0.455 0.655 0.918
10 Zn 0.866 0.015 0.043
11 Zn 0.134 0.985 0.957
12 Zn 0.462 0.929 0.744
13 Zn 0.799 0.304 0.934
14 Zn 0.201 0.696 0.066
15 Zn 0.685 0.718 0.756
16 Zn 0.238 0.537 0.582
17 Zn 0.896 0.146 0.750
18 Zn 0.315 0.282 0.244
19 Zn 0.538 0.071 0.256
20 Zn 0.104 0.854 0.250
21 Zn 0.472 0.823 0.457
22 Zn 0.762 0.463 0.418
23 Zn 0.870 0.865 0.566
24 Zn 0.528 0.177 0.543
25 Dy 0.993 0.590 0.740
26 Dy 0.007 0.410 0.260
27 Dy 0.651 0.748 0.240
28 Dy 0.349 0.252 0.760

* space-group type: C2/c (15)
* DOS(E_F): 0.53 states/eV/atom
* E: -3.023 eV/atom
* V: 15.77 Å³/atom

Record 4
The following is a DFT calculation (PBE) of a relaxed YSiHg3 crystal.

a b c (Å): 5.060 5.060 5.060
angles (deg): 90.00 90.00 90.00
Fractional coordinates of all 5 atoms:
1 Y 0.500 0.500 0.500
2 Hg 0.500 0.000 0.000
3 Hg 0.000 0.500 0.000
4 Hg 0.000 0.000 0.500
5 Si 0.000 0.000 0.000

* space-group type: Pm-3m (221)
* ΔE_f (raw): 0.196 eV per atom
* DOS(E_F): 0.44 states/eV/atom
* energy above the most stable polymorph in this dataset: 0.00 eV/f.u.
* V: 25.90 Å³/atom

Record 5
The following is a DFT calculation (PBE) of a relaxed Ac2NdYO6 crystal.

a b c (Å): 6.105 6.305 8.839
angles (deg): 90.00 90.21 90.00
Fractional coordinates of all 20 atoms:
1 O 0.627 0.060 0.256
2 O 0.690 0.299 0.571
3 O 0.810 0.799 0.929
4 O 0.873 0.560 0.244
5 O 0.700 0.308 0.932
6 O 0.190 0.201 0.071
7 O 0.200 0.192 0.432
8 O 0.127 0.440 0.756
9 O 0.300 0.692 0.068
10 O 0.373 0.940 0.744
11 O 0.310 0.701 0.429
12 O 0.800 0.808 0.568
13 Y 0.000 0.500 0.000
14 Y 0.500 0.000 0.500
15 Ac 0.016 0.952 0.251
16 Ac 0.516 0.548 0.751
17 Ac 0.484 0.452 0.249
18 Ac 0.984 0.048 0.749
19 Nd 0.500 0.000 0.000
20 Nd 0.000 0.500 0.500

* space-group type: P2_1/c (14)
* ΔE_f (raw): -3.361 eV per atom
* DOS(E_F): 0.00 states/eV/atom
* V: 17.01 Å³/atom

Record 6
The following is a DFT calculation (PBE) of a relaxed LaNiPCl2 crystal.

a b c (Å): 4.533 4.533 4.898
angles (deg): 90.00 90.00 90.00
Fractional coordinates of all 5 atoms:
1 Cl 0.500 0.000 0.000
2 Cl 0.000 0.500 0.000
3 Ni 0.000 0.000 0.000
4 La 0.500 0.500 0.500
5 P 0.000 0.000 0.500

* space-group type: P4/mmm (123)
* ΔE_f (raw): -0.907 eV per atom
* DOS(E_F): 0.33 states/eV/atom
* V: 20.13 Å³/atom

Question: Which of these has the highest V?
Answer: YSiHg3

Question: The lowest DOS(E_F) belongs to which entry?
Answer: Ac2NdYO6